(1)
First-principles (PBE) data for a geometry-optimized Pu2NbPb structure, as listed in Alexandria via LeMat-Bulk.

## Properties
Calculated volume   25.1 A^3/atom
Magnetic moment   11.358 μB/cell
DOS(E_F)   13.95 states/eV/f.u.
Distance to the lowest polymorph of the same formula   105.0 meV/atom
Energy relative to the elements   232.7 meV/atom

abc: 3.272 3.272 10.981
angles: 81.43 81.43 60.00
Fractional positions:
Pb (0.500, 0.500, 0.500)
Nb (0.000, 0.000, 0.000)
Pu (0.257, 0.257, 0.228)
Pu (0.743, 0.743, 0.772)

=====

(2)
First-principles (PBE) data for a geometry-optimized Ac3Pd2Pb2Au4 structure, as listed in Alexandria via LeMat-Bulk.

## Properties
Calculated volume   27.6 A^3/atom
Magnetic moment   0.000 μB/cell
DOS(E_F)   5.76 states/eV/f.u.
Energy relative to the elements   -631.9 meV/atom

abc: 4.758 4.758 15.488
angles: 90.00 90.00 120.00
Fractional positions:
Ac (0.000, 0.000, 0.747)
Ac (0.000, 0.000, 0.000)
Ac (0.000, 0.000, 0.253)
Pd (0.667, 0.333, 0.865)
Pd (0.333, 0.667, 0.135)
Pb (0.667, 0.333, 0.437)
Pb (0.333, 0.667, 0.563)
Au (0.667, 0.333, 0.124)
Au (0.333, 0.667, 0.876)
Au (0.667, 0.333, 0.639)
Au (0.333, 0.667, 0.361)

=====

(3)
First-principles (PBE) data for a geometry-optimized Er3TiGa12 structure, as listed in Alexandria via LeMat-Bulk.

## Properties
Calculated volume   18.4 A^3/atom
Magnetic moment   0.000 μB/cell
DOS(E_F)   6.52 states/eV/f.u.
Energy relative to the elements   -469.2 meV/atom

abc: 4.186 4.186 16.765
angles: 90.00 90.00 90.00
Fractional positions:
Er (0.000, 0.000, 0.241)
Er (0.000, 0.000, 0.500)
Er (0.000, 0.000, 0.759)
Ti (0.000, 0.000, 0.000)
Ga (0.500, 0.500, 0.000)
Ga (0.500, 0.500, 0.247)
Ga (0.500, 0.500, 0.500)
Ga (0.500, 0.500, 0.753)
Ga (0.500, 0.000, 0.115)
Ga (0.500, 0.000, 0.372)
Ga (0.500, 0.000, 0.628)
Ga (0.500, 0.000, 0.885)
Ga (0.000, 0.500, 0.115)
Ga (0.000, 0.500, 0.372)
Ga (0.000, 0.500, 0.628)
Ga (0.000, 0.500, 0.885)

=====

(4)
First-principles (PBE) data for a geometry-optimized MnRePdSe structure, as listed in Alexandria via LeMat-Bulk.

## Properties
Calculated volume   14.9 A^3/atom
Magnetic moment   1.714 μB/cell
DOS(E_F)   3.51 states/eV/f.u.
Distance to the lowest polymorph of the same formula   245.9 meV/atom
Formation energy without anion corrections   0.321 eV/atom

abc: 2.875 4.069 5.286
angles: 90.00 105.45 90.00
Fractional positions:
Mn (0.601, 0.000, 0.271)
Re (0.995, 0.500, 0.078)
Pd (0.350, 0.000, 0.778)
Se (0.702, 0.500, 0.511)

=====

(5)
First-principles (PBE) data for a geometry-optimized TaAl2Fe2 structure, as listed in Alexandria via LeMat-Bulk.

## Properties
Calculated volume   14.3 A^3/atom
Magnetic moment   0.000 μB/cell
DOS(E_F)   4.22 states/eV/f.u.
Distance to the lowest polymorph of the same formula   292.5 meV/atom
Energy relative to the elements   140.8 meV/atom

abc: 5.439 5.439 5.439
angles: 137.96 137.96 60.97
Fractional positions:
Ta (0.000, 0.000, 0.000)
Al (0.250, 0.750, 0.500)
Al (0.750, 0.250, 0.500)
Fe (0.604, 0.604, 0.000)
Fe (0.396, 0.396, 0.000)

=====

(6)
First-principles (PBE) data for a geometry-optimized Ca3Sn3Pd2 structure, as listed in Alexandria via LeMat-Bulk.

## Properties
Calculated volume   25.4 A^3/atom
Magnetic moment   0.000 μB/cell
DOS(E_F)   5.99 states/eV/f.u.
Energy relative to the elements   -711.5 meV/atom

abc: 5.920 8.727 15.724
angles: 90.00 90.00 90.00
Fractional positions:
Ca (0.115, 0.464, 0.387)
Ca (0.615, 0.036, 0.613)
Ca (0.885, 0.536, 0.887)
Ca (0.385, 0.964, 0.113)
Ca (0.885, 0.536, 0.613)
Ca (0.385, 0.964, 0.387)
Ca (0.115, 0.464, 0.113)
Ca (0.615, 0.036, 0.887)
Ca (0.616, 0.324, 0.250)
Ca (0.116, 0.176, 0.750)
Ca (0.384, 0.676, 0.750)
Ca (0.884, 0.824, 0.250)
Sn (0.110, 0.174, 0.250)
Sn (0.610, 0.326, 0.750)
Sn (0.890, 0.826, 0.750)
Sn (0.390, 0.674, 0.250)
Sn (0.614, 0.309, 0.462)
Sn (0.114, 0.191, 0.538)
Sn (0.386, 0.691, 0.962)
Sn (0.886, 0.809, 0.038)
Sn (0.386, 0.691, 0.538)
Sn (0.886, 0.809, 0.462)
Sn (0.614, 0.309, 0.038)
Sn (0.114, 0.191, 0.962)
Pd (0.882, 0.091, 0.394)
Pd (0.382, 0.409, 0.606)
Pd (0.118, 0.909, 0.894)
Pd (0.618, 0.591, 0.106)
Pd (0.118, 0.909, 0.606)
Pd (0.618, 0.591, 0.394)
Pd (0.882, 0.091, 0.106)
Pd (0.382, 0.409, 0.894)

=====

(7)
First-principles (PBE) data for a geometry-optimized MnBe2Hg structure, as listed in Alexandria via LeMat-Bulk.

## Properties
Calculated volume   12.5 A^3/atom
Magnetic moment   2.581 μB/cell
DOS(E_F)   1.80 states/eV/f.u.
Energy relative to the elements   283.8 meV/atom

abc: 3.943 3.943 3.224
angles: 89.99 89.99 90.00
Fractional positions:
Be (0.000, 0.000, 0.000)
Be (0.500, 0.500, 0.000)
Mn (0.000, 0.500, 0.500)
Hg (0.500, 0.000, 0.500)

=====

(8)
First-principles (PBE) data for a geometry-optimized La2Ir structure, as listed in Alexandria via LeMat-Bulk.

## Properties
Calculated volume   30.6 A^3/atom
Magnetic moment   0.000 μB/cell
DOS(E_F)   2.56 states/eV/f.u.
Energy relative to the elements   -440.7 meV/atom

abc: 14.421 14.421 14.421
angles: 165.66 165.66 20.33
Fractional positions:
La (0.559, 0.559, 0.000)
La (0.441, 0.441, 0.000)
La (0.309, 0.809, 0.500)
La (0.191, 0.691, 0.500)
Ir (0.750, 0.250, 0.500)
Ir (0.000, 0.000, 0.000)